1.
Entry from Alexandria via LeMat-Bulk: crystalline PaOsRu at its relaxed geometry (GGA-PBE).

As for the polymorph energy (0 for the lowest one): 301 meV/atom. The crystal system is orthorhombic. Its space group is No. 51.

Cell lengths 2.9529, 5.3700, 6.8086 Å; angles 90.00, 90.00, 90.00 degrees
Positions (direct):
Ru 0.5000 0.7500 0.7297
Ru 0.5000 0.2500 0.2703
Pa 0.0000 0.7500 0.3598
Pa 0.0000 0.2500 0.6402
Os 0.0000 0.5000 0.0000
Os 0.0000 0.0000 0.0000

---

2.
Entry from Alexandria via LeMat-Bulk: crystalline PaOsRu at its relaxed geometry (GGA-PBE).

As for the polymorph energy (0 for the lowest one): 0 meV/atom. The crystal system is hexagonal. Its space group is No. 194.

Cell lengths 4.6259, 5.7683, 4.6266 Å; angles 90.00, 119.99, 90.00 degrees
Positions (direct):
Ru 0.6667 0.2500 0.8333
Ru 0.3333 0.7500 0.1667
Os 0.0000 0.0000 0.5000
Os 0.0000 0.5000 0.5000
Pa 0.3333 0.2500 0.1667
Pa 0.6667 0.7500 0.8333

---

3.
Entry from Alexandria via LeMat-Bulk: crystalline PaOsRu at its relaxed geometry (GGA-PBE).

As for the polymorph energy (0 for the lowest one): 240 meV/atom. The crystal system is tetragonal. Its space group is No. 107.

Cell lengths 3.7114, 3.7114, 4.8165 Å; angles 112.66, 112.66, 90.00 degrees
Positions (direct):
Ru 0.9741 0.9741 0.9482
Pa 0.6694 0.6694 0.3388
Os 0.3565 0.3565 0.7130

---

4.
Entry from Alexandria via LeMat-Bulk: crystalline Pa2OsRu at its relaxed geometry (GGA-PBE).

As for the polymorph energy (0 for the lowest one): 113 meV/atom. The crystal system is tetragonal. Its space group is No. 123.

Cell lengths 3.5506, 4.7714, 4.7714 Å; angles 90.00, 90.00, 90.00 degrees
Positions (direct):
Pa 0.0000 0.0000 0.5000
Pa 0.0000 0.5000 0.0000
Os 0.5000 0.5000 0.5000
Ru 0.5000 0.0000 0.0000

---

5.
Entry from Alexandria via LeMat-Bulk: crystalline Pa8Os5Ru at its relaxed geometry (GGA-PBE).

The crystal system is tetragonal. Its space group is No. 82. For the energy, the calculation gives -145.81 eV per cell.

Cell lengths 7.3958, 7.3958, 7.3958 Å; angles 109.63, 109.16, 109.63 degrees
Positions (direct):
Os 0.0001 0.3735 0.1263
Os 0.5000 0.0000 0.5000
Os 0.3735 0.1262 0.9999
Os 0.7527 0.6265 0.6265
Os 0.8737 0.8738 0.2473
Ru 0.2500 0.5000 0.7500
Pa 0.1268 0.7490 0.9926
Pa 0.6222 0.8657 0.8732
Pa 0.1237 0.7520 0.4918
Pa 0.2435 0.2510 0.3778
Pa 0.6283 0.3681 0.8763
Pa 0.0074 0.1343 0.7565
Pa 0.5082 0.6319 0.2602
Pa 0.7398 0.2480 0.3717

---

6.
Entry from Alexandria via LeMat-Bulk: crystalline Pa2OsRu at its relaxed geometry (GGA-PBE).

As for the polymorph energy (0 for the lowest one): 116 meV/atom. The crystal system is cubic. Its space group is No. 225.

Cell lengths 4.8565, 4.8565, 4.8565 Å; angles 60.00, 60.00, 60.00 degrees
Positions (direct):
Pa 0.7500 0.7500 0.7500
Pa 0.2500 0.2500 0.2500
Ru 0.5000 0.5000 0.5000
Os 0.0000 0.0000 0.0000

---

7.
Entry from Alexandria via LeMat-Bulk: crystalline Pa3OsRu at its relaxed geometry (GGA-PBE).

The crystal system is monoclinic. Its space group is No. 11. For the energy, the calculation gives -101.20 eV per cell.

Cell lengths 3.7575, 8.1936, 7.8804 Å; angles 114.01, 90.00, 90.00 degrees
Positions (direct):
Pa 0.2500 0.6765 0.0565
Pa 0.2500 0.3719 0.5992
Pa 0.2500 0.9396 0.7990
Pa 0.7500 0.0604 0.2010
Pa 0.7500 0.3235 0.9435
Pa 0.7500 0.6281 0.4008
Ru 0.7500 0.1210 0.6077
Ru 0.2500 0.8790 0.3923
Os 0.2500 0.3321 0.2208
Os 0.7500 0.6679 0.7792

---

8.
Entry from Alexandria via LeMat-Bulk: crystalline Pa2OsRu at its relaxed geometry (GGA-PBE).

As for the polymorph energy (0 for the lowest one): 0 meV/atom. The crystal system is trigonal. Its space group is No. 166.

Cell lengths 3.9540, 3.9540, 6.8379 Å; angles 73.19, 73.19, 60.00 degrees
Positions (direct):
Ru 0.5000 0.5000 0.5000
Pa 0.7499 0.7499 0.7502
Pa 0.2501 0.2501 0.2498
Os 0.0000 0.0000 0.0000

---

no.,N(E_F) (states/eV/cell)
1,7.704
2,5.050
3,2.885
4,5.782
5,17.076
6,6.320
7,12.965
8,3.107